# KMg3AlGe3O10F2 (PBE, relaxed)
data_KMg3AlGe3O10F2
_space_group_name_H-M_alt 'P 1'
_space_group_IT_number 1
_space_group_name_Hall 'P 1'
_cell_length_a 5.465
_cell_length_b 5.467
_cell_length_c 10.764
_cell_angle_alpha 94.96
_cell_angle_beta 94.75
_cell_angle_gamma 119.98
loop_
_atom_site_label
_atom_site_fract_x
_atom_site_fract_y
_atom_site_fract_z
K1 0.000 0.000 0.000
Mg1 0.181 0.840 0.534
Mg2 0.502 0.504 0.534
Mg3 0.850 0.183 0.534
Al1 0.265 0.599 0.794
Ge1 0.419 0.753 0.259
Ge2 0.601 0.266 0.799
Ge3 0.752 0.419 0.259
O1 0.063 0.643 0.193
O2 0.208 0.542 0.627
O3 0.369 0.952 0.856
O4 0.476 0.809 0.423
O5 0.484 0.485 0.192
O6 0.535 0.536 0.855
O7 0.545 0.208 0.629
O8 0.642 0.064 0.192
O9 0.804 0.472 0.424
O10 0.954 0.370 0.856
F1 0.145 0.139 0.436
F2 0.868 0.867 0.615
# - Formation energy (no corrections): -48.44 eV per formula unit
# - Crystal system: triclinic
# - DOS at the Fermi energy: 0.000 states/eV per atom



# LaAlGeF (PBE, relaxed)
data_LaAlGeF
_space_group_name_H-M_alt 'P 4/n m m'
_space_group_IT_number 129
_cell_length_a 4.167
_cell_length_b 4.167
_cell_length_c 8.762
_cell_angle_alpha 90.00
_cell_angle_beta 90.00
_cell_angle_gamma 90.00
loop_
_space_group_symop_operation_xyz
'x,y,z'
'-x,-y,-z'
'-y+1/2,x,z'
'y+1/2,-x,-z'
'-x+1/2,-y+1/2,z'
'x+1/2,y+1/2,-z'
'y,-x+1/2,z'
'-y,x+1/2,-z'
'x+1/2,-y,-z'
'-x+1/2,y,z'
'-y,-x,-z'
'y,x,z'
'-x,y+1/2,-z'
'x,-y+1/2,z'
'y+1/2,x+1/2,-z'
'-y+1/2,-x+1/2,z'
loop_
_atom_site_label
_atom_site_fract_x
_atom_site_fract_y
_atom_site_fract_z
La1 0.250 0.250 0.183
Al1 0.250 0.750 0.500
Ge1 0.250 0.250 0.678
F1 0.250 0.750 0.000
# - Formation energy (no corrections): -6.69 eV per formula unit
# - Crystal system: tetragonal
# - DOS at the Fermi energy: 0.358 states/eV per atom



# LiAl2GeF (PBE, relaxed)
data_LiAl2GeF
_space_group_name_H-M_alt 'P 4/m m m'
_space_group_IT_number 123
_space_group_name_Hall '-P 4 2'
_cell_length_a 4.375
_cell_length_b 4.375
_cell_length_c 4.836
_cell_angle_alpha 90.00
_cell_angle_beta 90.00
_cell_angle_gamma 90.00
loop_
_atom_site_label
_atom_site_fract_x
_atom_site_fract_y
_atom_site_fract_z
Li1 0.000 0.000 0.000
Al1 0.000 0.500 0.500
Ge1 0.500 0.500 0.000
F1 0.500 0.500 0.500
# - Formation energy (no corrections): -1.03 eV per formula unit
# - Crystal system: tetragonal
# - DOS at the Fermi energy: 0.486 states/eV per atom



# AlGeN2F (PBE, relaxed)
data_AlGeN2F
_space_group_name_H-M_alt 'P 4/m m m'
_space_group_IT_number 123
_space_group_name_Hall '-P 4 2'
_cell_length_a 3.842
_cell_length_b 3.842
_cell_length_c 3.719
_cell_angle_alpha 90.00
_cell_angle_beta 90.00
_cell_angle_gamma 90.00
loop_
_atom_site_label
_atom_site_fract_x
_atom_site_fract_y
_atom_site_fract_z
Al1 0.000 0.000 0.000
Ge1 0.500 0.500 0.500
N1 0.000 0.500 0.500
F1 0.500 0.500 0.000
# - Formation energy (no corrections): 0.93 eV per formula unit
# - Crystal system: tetragonal
# - DOS at the Fermi energy: 0.242 states/eV per atom



# AlGeNF2 (PBE, relaxed)
data_AlGeNF2
_space_group_name_H-M_alt 'P 4/m m m'
_space_group_IT_number 123
_space_group_name_Hall '-P 4 2'
_cell_length_a 4.377
_cell_length_b 4.377
_cell_length_c 3.468
_cell_angle_alpha 90.00
_cell_angle_beta 90.00
_cell_angle_gamma 90.00
loop_
_atom_site_label
_atom_site_fract_x
_atom_site_fract_y
_atom_site_fract_z
Al1 0.000 0.000 0.000
Ge1 0.500 0.500 0.500
N1 0.500 0.500 0.000
F1 0.000 0.500 0.500
# - Formation energy (no corrections): -3.06 eV per formula unit
# - Crystal system: tetragonal
# - DOS at the Fermi energy: 0.045 states/eV per atom



# AlGeN2F (PBE, relaxed)
data_AlGeN2F
_space_group_name_H-M_alt 'P 4/m m m'
_space_group_IT_number 123
_space_group_name_Hall '-P 4 2'
_cell_length_a 3.863
_cell_length_b 3.863
_cell_length_c 3.649
_cell_angle_alpha 90.00
_cell_angle_beta 90.00
_cell_angle_gamma 90.00
loop_
_atom_site_label
_atom_site_fract_x
_atom_site_fract_y
_atom_site_fract_z
Al1 0.000 0.000 0.000
Ge1 0.500 0.500 0.500
N1 0.000 0.500 0.000
F1 0.000 0.000 0.500
# - Formation energy (no corrections): -1.25 eV per formula unit
# - Crystal system: tetragonal
# - DOS at the Fermi energy: 0.534 states/eV per atom



# AlGeNF2 (PBE, relaxed)
data_AlGeNF2
_space_group_name_H-M_alt 'P 4/m m m'
_space_group_IT_number 123
_space_group_name_Hall '-P 4 2'
_cell_length_a 3.748
_cell_length_b 3.748
_cell_length_c 3.961
_cell_angle_alpha 90.00
_cell_angle_beta 90.00
_cell_angle_gamma 90.00
loop_
_atom_site_label
_atom_site_fract_x
_atom_site_fract_y
_atom_site_fract_z
Al1 0.000 0.000 0.000
Ge1 0.500 0.500 0.500
N1 0.000 0.000 0.500
F1 0.000 0.500 0.000
# - Formation energy (no corrections): -6.93 eV per formula unit
# - Crystal system: tetragonal
# - DOS at the Fermi energy: 0.092 states/eV per atom



# NbAl2GeF (PBE, relaxed)
data_NbAl2GeF
_space_group_name_H-M_alt 'P 4/m m m'
_space_group_IT_number 123
_space_group_name_Hall '-P 4 2'
_cell_length_a 5.150
_cell_length_b 5.150
_cell_length_c 4.055
_cell_angle_alpha 90.00
_cell_angle_beta 90.00
_cell_angle_gamma 90.00
loop_
_atom_site_label
_atom_site_fract_x
_atom_site_fract_y
_atom_site_fract_z
Nb1 0.000 0.000 0.000
Al1 0.000 0.500 0.000
Ge1 0.500 0.500 0.500
F1 0.000 0.000 0.500
# - Formation energy (no corrections): 0.17 eV per formula unit
# - Crystal system: tetragonal
# - DOS at the Fermi energy: 0.847 states/eV per atom



# AlGeO2F (PBE, relaxed)
data_AlGeO2F
_space_group_name_H-M_alt 'P 4/m m m'
_space_group_IT_number 123
_space_group_name_Hall '-P 4 2'
_cell_length_a 3.792
_cell_length_b 3.792
_cell_length_c 3.666
_cell_angle_alpha 90.00
_cell_angle_beta 90.00
_cell_angle_gamma 90.00
loop_
_atom_site_label
_atom_site_fract_x
_atom_site_fract_y
_atom_site_fract_z
Al1 0.000 0.000 0.000
Ge1 0.500 0.500 0.500
O1 0.000 0.500 0.000
F1 0.000 0.000 0.500
# - Formation energy (no corrections): -10.23 eV per formula unit
# - Crystal system: tetragonal
# - DOS at the Fermi energy: 0.000 states/eV per atom



# AlGeO2F (PBE, relaxed)
data_AlGeO2F
_space_group_name_H-M_alt 'P 4/m m m'
_space_group_IT_number 123
_space_group_name_Hall '-P 4 2'
_cell_length_a 3.828
_cell_length_b 3.828
_cell_length_c 4.124
_cell_angle_alpha 90.00
_cell_angle_beta 90.00
_cell_angle_gamma 90.00
loop_
_atom_site_label
_atom_site_fract_x
_atom_site_fract_y
_atom_site_fract_z
Al1 0.000 0.000 0.000
Ge1 0.500 0.500 0.500
O1 0.000 0.500 0.500
F1 0.500 0.500 0.000
# - Formation energy (no corrections): -5.42 eV per formula unit
# - Crystal system: tetragonal
# - DOS at the Fermi energy: 0.414 states/eV per atom



# AlGe2PbF (PBE, relaxed)
data_AlGe2PbF
_space_group_name_H-M_alt 'P 4/m m m'
_space_group_IT_number 123
_space_group_name_Hall '-P 4 2'
_cell_length_a 5.524
_cell_length_b 5.524
_cell_length_c 4.447
_cell_angle_alpha 90.00
_cell_angle_beta 90.00
_cell_angle_gamma 90.00
loop_
_atom_site_label
_atom_site_fract_x
_atom_site_fract_y
_atom_site_fract_z
Al1 0.000 0.000 0.000
Ge1 0.000 0.500 0.500
Pb1 0.500 0.500 0.500
F1 0.500 0.500 0.000
# - Formation energy (no corrections): 1.07 eV per formula unit
# - Crystal system: tetragonal
# - DOS at the Fermi energy: 0.762 states/eV per atom



# RbAlGeF2 (PBE, relaxed)
data_RbAlGeF2
_space_group_name_H-M_alt 'P 4/m m m'
_space_group_IT_number 123
_space_group_name_Hall '-P 4 2'
_cell_length_a 4.600
_cell_length_b 4.600
_cell_length_c 6.839
_cell_angle_alpha 90.00
_cell_angle_beta 90.00
_cell_angle_gamma 90.00
loop_
_atom_site_label
_atom_site_fract_x
_atom_site_fract_y
_atom_site_fract_z
Rb1 0.000 0.000 0.000
Al1 0.500 0.500 0.000
Ge1 0.000 0.000 0.500
F1 0.000 0.500 0.500
# - Formation energy (no corrections): -2.53 eV per formula unit
# - Crystal system: tetragonal
# - DOS at the Fermi energy: 0.561 states/eV per atom



Number 1: M_tot 0.0 μB/f.u.. Number 2: M_tot 0.0 μB/f.u.. Number 3: M_tot 0.0 μB/f.u.. Number 4: M_tot 0.0 μB/f.u.. Number 5: M_tot 0.0 μB/f.u.. Number 6: M_tot 0.0 μB/f.u.. Number 7: M_tot 0.0 μB/f.u.. Number 8: M_tot 0.0 μB/f.u.. Number 9: M_tot 0.0 μB/f.u.. Number 10: M_tot 0.0 μB/f.u.. Number 11: M_tot 0.0 μB/f.u.. Number 12: M_tot 0.3 μB/f.u..